Density functional theory data (PBE with a Hubbard U) for a relaxed Cd2PbWO6 crystal.

Output
magnetization: 0.0 Bohr magnetons per cell
volume: 149.0 Å³/f.u.
energy: -5.700 eV per atom

CIF file:
```
data_Cd2PbWO6
_chemical_formula_sum 'Cd2 Pb1 W1 O6'
_cell_length_a 6.138
_cell_length_b 6.138
_cell_length_c 6.138
_cell_angle_alpha 56.16
_cell_angle_beta 56.16
_cell_angle_gamma 56.16
_symmetry_space_group_name_H-M 'P 1'
_symmetry_Int_Tables_number 1
loop_
_symmetry_equiv_pos_as_xyz
'x,y,z'
loop_
_atom_site_label
_atom_site_fract_x
_atom_site_fract_y
_atom_site_fract_z
_atom_site_occupancy
Cd1 0.000 0.000 0.000 1
Cd2 0.499 0.499 0.499 1
Pb1 0.228 0.228 0.228 1
W1 0.710 0.710 0.710 1
O1 0.055 0.479 0.777 1
O2 0.352 0.884 0.632 1
O3 0.479 0.777 0.055 1
O4 0.632 0.352 0.884 1
O5 0.777 0.055 0.479 1
O6 0.884 0.632 0.352 1
```